Entry 1:
Density functional theory data (PBE) for a relaxed structure of Y2SiGe.

The calculation puts the uncorrected formation energy at -0.57 eV/atom. The density of states at the Fermi level is 11.8 states/eV per cell.

It has space group R-3m (No. 166, hexagonal axes), with a = 3.8934 Å, b = 3.8934 Å, c = 22.6652 Å, α = 90.00°, β = 90.00° and γ = 120.00°. Symmetry generates all atoms from Y at (0.0000, 0.0000, 0.2481), Si at (0.0000, 0.0000, 0.5000) and Ge at (0.0000, 0.0000, 0.0000).

Entry 2:
Density functional theory data (PBE) for a relaxed structure of YSi3Ge.

The calculation puts the uncorrected formation energy at 1.24 eV/atom. The density of states at the Fermi level is 2.6 states/eV per cell.

It has space group Pm-3m (No. 221), with a = 5.2550 Å, b = 5.2550 Å, c = 5.2550 Å, α = 90.00°, β = 90.00° and γ = 90.00°. Symmetry generates all atoms from Y at (0.0000, 0.0000, 0.0000), Si at (0.0000, 0.0000, 0.5000) and Ge at (0.5000, 0.5000, 0.5000).

Entry 3:
Density functional theory data (PBE) for a relaxed structure of Y3SiGe.

The calculation puts the uncorrected formation energy at -0.24 eV/atom. The density of states at the Fermi level is 2.7 states/eV per cell.

It has space group Pm-3m (No. 221), with a = 5.2940 Å, b = 5.2940 Å, c = 5.2940 Å, α = 90.00°, β = 90.00° and γ = 90.00°. Symmetry generates all atoms from Y at (0.0000, 0.0000, 0.5000), Si at (0.0000, 0.0000, 0.0000) and Ge at (0.5000, 0.5000, 0.5000).

Entry 4:
Density functional theory data (PBE) for a relaxed structure of Y3SiGe.

The calculation puts the uncorrected formation energy at -0.55 eV/atom. The density of states at the Fermi level is 27.1 states/eV per cell.

It has space group R-3 (No. 148, hexagonal axes), with a = 7.1500 Å, b = 7.1500 Å, c = 19.7789 Å, α = 90.00°, β = 90.00° and γ = 120.00°. Symmetry generates all atoms from Y at (0.0008, 0.6895, 0.2486), Si at (0.0000, 0.0000, 0.1556) and Ge at (0.0000, 0.0000, 0.3447).

Entry 5:
Density functional theory data (PBE) for a relaxed structure of Y2SiGe.

The calculation puts the uncorrected formation energy at -0.40 eV/atom. The density of states at the Fermi level is 8.7 states/eV per cell.

It has space group I-42d (No. 122), with a = 7.6778 Å, b = 7.6778 Å, c = 6.7031 Å, α = 90.00°, β = 90.00° and γ = 90.00°. Symmetry generates all atoms from Y at (0.2471, 0.2500, 0.1250), Si at (0.0000, 0.0000, 0.0000) and Ge at (0.0000, 0.0000, 0.5000).

Entry 6:
Density functional theory data (PBE) for a relaxed structure of YSiGe2.

The calculation puts the uncorrected formation energy at -0.30 eV/atom. The density of states at the Fermi level is 1.7 states/eV per cell.

It has space group P4/mmm (No. 123), with a = 4.3260 Å, b = 4.3260 Å, c = 4.1786 Å, α = 90.00°, β = 90.00° and γ = 90.00°. Symmetry generates all atoms from Y at (0.0000, 0.0000, 0.0000), Si at (0.5000, 0.5000, 0.0000) and Ge at (0.0000, 0.5000, 0.5000).